First-principles (PBE-GGA) data for crystalline Nd5TmP6 at its relaxed geometry, as listed in Alexandria.

Summary:
V (Å³ per cell): 299.6
Raw total energy (eV/atom): -6.6024
Energy of formation from the pure elements (eV/atom): -1.538

Lattice parameters (Å, degrees): 7.159 7.161 7.159 59.99 80.39 70.50
Element x y z (fractional)
Nd1 0.500 0.500 0.000
Nd2 0.500 0.168 0.665
P1 0.245 0.592 0.326
P2 0.755 0.082 0.326
P3 0.245 0.918 0.674
Nd3 0.500 0.832 0.335
P4 0.755 0.408 0.674
P5 0.246 0.244 0.000
Tm1 0.000 0.000 0.000
Nd4 0.000 0.666 0.667
P6 0.754 0.756 0.000
Nd5 0.000 0.334 0.333